Run A
A geometry-optimized Ga2CoOs2 structure, computed with PBE-GGA.

## Properties
Fermi-level density of states: 5.8 states/eV per cell
Symmetry: I4/mmm (139)

Cell and atoms, written as POSCAR:
```
Ga2CoOs2
1.0
-1.692 1.692 6.538
1.692 -1.692 6.538
1.692 1.692 -6.538
Ga Co Os
2 1 2
Direct
0.250 0.750 0.500
0.750 0.250 0.500
0.000 0.000 0.000
0.402 0.402 0.000
0.598 0.598 0.000
```

---

Run B
A geometry-optimized Ga2CoOs2 structure, computed with PBE-GGA.

## Properties
Fermi-level density of states: 8.2 states/eV per cell
Symmetry: P4/mbm (127)

Cell and atoms, written as POSCAR:
```
Ga2CoOs2
1.0
6.309 0.000 0.000
0.000 6.309 0.000
0.000 0.000 3.855
Ga Co Os
4 2 4
Direct
0.171 0.329 0.000
0.329 0.829 0.000
0.671 0.171 0.000
0.829 0.671 0.000
0.000 0.000 0.500
0.500 0.500 0.500
0.137 0.637 0.500
0.363 0.137 0.500
0.637 0.863 0.500
0.863 0.363 0.500
```

---

The winner here is run B, beating the second structure by 29.4 kJ/mol of atoms.

---

Run A
A geometry-optimized GaCo3Os structure, computed with PBE-GGA.

## Properties
Fermi-level density of states: 2.7 states/eV per cell
Symmetry: Pm-3m (221)

Cell and atoms, written as POSCAR:
```
GaCo3Os
1.0
4.215 0.000 0.000
0.000 4.215 0.000
0.000 0.000 4.215
Ga Co Os
1 3 1
Direct
0.000 0.000 0.000
0.000 0.000 0.500
0.000 0.500 0.000
0.500 0.000 0.000
0.500 0.500 0.500
```

---

Run B
A geometry-optimized GaCo3Os structure, computed with PBE-GGA.

## Properties
Fermi-level density of states: 8.4 states/eV per cell
Symmetry: Pm-3m (221)

Cell and atoms, written as POSCAR:
```
GaCo3Os
1.0
4.484 0.000 0.000
0.000 4.484 0.000
0.000 0.000 4.484
Ga Co Os
1 3 1
Direct
0.000 0.000 0.000
0.000 0.500 0.500
0.500 0.000 0.500
0.500 0.500 0.000
0.500 0.500 0.500
```

---

The winner here is run A, beating the second structure by 1.2 kJ/mol of atoms.

---

Run A
A geometry-optimized PaGa3Co2 structure, computed with PBE-GGA.

## Properties
Fermi-level density of states: 11.7 states/eV per cell
Symmetry: C2/m (12)

Cell and atoms, written as POSCAR:
```
PaGa3Co2
1.0
8.287 -1.927 0.000
8.287 1.927 0.000
-2.511 0.000 8.933
Pa Ga Co
3 9 6
Direct
0.000 0.000 0.000
0.154 0.154 0.693
0.846 0.846 0.307
0.049 0.049 0.354
0.219 0.219 0.386
0.353 0.353 0.062
0.354 0.354 0.798
0.500 0.500 0.500
0.646 0.646 0.202
0.647 0.647 0.938
0.781 0.781 0.614
0.951 0.951 0.646
0.217 0.217 0.102
0.363 0.363 0.537
0.498 0.498 0.206
0.502 0.502 0.794
0.637 0.637 0.463
0.783 0.783 0.898
```

---

Run B
A geometry-optimized PaGa3Co2 structure, computed with PBE-GGA.

## Properties
Fermi-level density of states: 10.1 states/eV per cell
Symmetry: R-3m (166)

Cell and atoms, written as POSCAR:
```
PaGa3Co2
1.0
3.048 1.760 6.077
-3.048 1.760 6.077
0.000 -3.519 6.077
Pa Ga Co
2 6 4
Direct
0.231 0.231 0.231
0.769 0.769 0.769
0.247 0.730 0.730
0.270 0.270 0.753
0.270 0.753 0.270
0.730 0.247 0.730
0.730 0.730 0.247
0.753 0.270 0.270
0.000 0.000 0.000
0.000 0.500 0.500
0.500 0.000 0.500
0.500 0.500 0.000
```

---

The winner here is run A, beating the second structure by 16.7 kJ/mol of atoms.

---

Run A
A geometry-optimized PaZnGaCo structure, computed with PBE-GGA.

## Properties
Fermi-level density of states: 3.3 states/eV per cell
Symmetry: F-43m (216)

Cell and atoms, written as POSCAR:
```
PaZnGaCo
1.0
0.000 3.239 3.239
3.239 0.000 3.239
3.239 3.239 0.000
Pa Zn Ga Co
1 1 1 1
Direct
0.000 0.000 0.000
0.750 0.750 0.750
0.500 0.500 0.500
0.250 0.250 0.250
```

---

Run B
A geometry-optimized PaZnGaCo structure, computed with PBE-GGA.

## Properties
Fermi-level density of states: 3.3 states/eV per cell
Symmetry: Cm (8)

Cell and atoms, written as POSCAR:
```
PaZnGaCo
1.0
3.165 -2.114 0.000
3.165 2.114 0.000
-2.332 0.000 5.804
Pa Zn Ga Co
1 1 1 1
Direct
0.000 0.000 0.000
0.491 0.491 0.353
0.199 0.199 0.598
0.628 0.628 0.778
```

---

The winner here is run A, beating the second structure by 7.1 kJ/mol of atoms.